A.
BaPmTe2: relaxed, PBE.

Properties
SG = R-3m, No. 166
D(E_F) = 0.4878 states/eV per atom
spin magnetization = 0.0000 μB per atom

a b c (Å): 8.3363 8.3363 8.3363
angles (deg): 32.34 32.34 32.34
Positions (direct):
Ba1 0.0000 0.0000 0.0000
Pm1 0.5000 0.5000 0.5000
Te1 0.2410 0.2410 0.2410
Te2 0.7590 0.7590 0.7590

=====

B.
BaPmTe2: relaxed, PBE.

Properties
SG = Fm-3m, No. 225
D(E_F) = 0.5180 states/eV per atom
spin magnetization = 0.2239 μB per atom

a b c (Å): 5.7220 5.7220 5.7220
angles (deg): 60.00 60.00 60.00
Positions (direct):
Ba1 0.0000 0.0000 0.0000
Pm1 0.5000 0.5000 0.5000
Te1 0.2500 0.2500 0.2500
Te2 0.7500 0.7500 0.7500

=====

C.
BaPmTe2: relaxed, PBE.

Properties
SG = P4/mmm, No. 123
D(E_F) = 0.6167 states/eV per atom
spin magnetization = 0.0660 μB per atom

a b c (Å): 4.0077 4.0077 8.2097
angles (deg): 90.00 90.00 90.00
Positions (direct):
Ba1 0.0000 0.0000 0.0000
Pm1 0.0000 0.0000 0.5000
Te1 0.5000 0.5000 0.2754
Te2 0.5000 0.5000 0.7246

=====

D.
BaPmTe2: relaxed, PBE.

Properties
SG = R3m, No. 160
D(E_F) = 0.6792 states/eV per atom
spin magnetization = 0.0000 μB per atom

a b c (Å): 8.6476 8.6476 8.6476
angles (deg): 30.57 30.57 30.57
Positions (direct):
Ba1 0.0000 0.0000 0.0000
Pm1 0.8275 0.8275 0.8275
Te1 0.2367 0.2367 0.2367
Te2 0.4226 0.4226 0.4226

=====

Of them, A has the highest stability.

=====

A.
Ba2PmTe3: relaxed, PBE.

Properties
SG = C2/c, No. 15
D(E_F) = 0.3602 states/eV per atom
spin magnetization = 0.0000 μB per atom

a b c (Å): 8.3634 8.3634 9.4873
angles (deg): 106.48 106.48 47.99
Positions (direct):
Ba1 0.1714 0.1713 0.0856
Ba2 0.1713 0.1714 0.5856
Ba3 0.8287 0.8286 0.4144
Ba4 0.8286 0.8287 0.9144
Pm1 0.4995 0.5005 0.7500
Pm2 0.5005 0.4995 0.2500
Te1 0.0005 0.9995 0.2500
Te2 0.3505 0.3506 0.9253
Te3 0.3506 0.3505 0.4253
Te4 0.6494 0.6495 0.5747
Te5 0.6495 0.6494 0.0747
Te6 0.9995 0.0005 0.7500

=====

B.
Ba2PmTe3: relaxed, PBE.

Properties
SG = Fddd, No. 70
D(E_F) = 0.2766 states/eV per atom
spin magnetization = 0.0000 μB per atom

a b c (Å): 15.8495 15.1105 8.3224
angles (deg): 79.37 69.56 31.07
Positions (direct):
Ba1 0.0442 0.0442 0.2058
Ba2 0.1221 0.1221 0.6279
Ba3 0.2058 0.2058 0.0442
Ba4 0.3721 0.3721 0.8779
Ba5 0.6279 0.6279 0.1221
Ba6 0.7942 0.7942 0.9558
Ba7 0.8779 0.8779 0.3721
Ba8 0.9558 0.9558 0.7942
Pm1 0.2914 0.2914 0.4586
Pm2 0.4586 0.4586 0.2914
Pm3 0.5414 0.5414 0.7086
Pm4 0.7086 0.7086 0.5414
Te1 0.0366 0.5385 0.2354
Te2 0.1498 0.6002 0.6002
Te3 0.2354 0.6895 0.0366
Te4 0.3105 0.7646 0.4615
Te5 0.3998 0.8502 0.8502
Te6 0.4615 0.9634 0.3105
Te7 0.5385 0.0366 0.6895
Te8 0.6002 0.1498 0.1498
Te9 0.6895 0.2354 0.5385
Te10 0.7646 0.3105 0.9634
Te11 0.8502 0.3998 0.3998
Te12 0.9634 0.4615 0.7646

=====

Of them, B has the highest stability.

=====

A.
BaPmY: relaxed, PBE.

Properties
SG = I4mm, No. 107
D(E_F) = 1.7926 states/eV per atom
spin magnetization = 0.0005 μB per atom

a b c (Å): 8.7379 8.7379 8.7379
angles (deg): 154.78 154.78 35.97
Positions (direct):
Ba1 0.0000 0.0000 0.0000
Pm1 0.3188 0.3188 0.0000
Y1 0.6815 0.6815 0.0000

=====

B.
BaPmY: relaxed, PBE.

Properties
SG = P3m1, No. 156
D(E_F) = 1.8116 states/eV per atom
spin magnetization = 0.0002 μB per atom

a b c (Å): 3.8081 3.8081 9.4656
angles (deg): 90.00 90.00 120.00
Positions (direct):
Ba1 0.0000 0.0000 0.0000
Pm1 0.6667 0.3333 0.3583
Y1 0.3333 0.6667 0.6496

=====

Of them, A has the highest stability.

=====

A.
BaPm2Y: relaxed, PBE.

Properties
SG = R-3m, No. 166
D(E_F) = 1.3761 states/eV per atom
spin magnetization = 0.0001 μB per atom

a b c (Å): 13.2546 13.2546 13.2546
angles (deg): 15.94 15.94 15.94
Positions (direct):
Ba1 0.0000 0.0000 0.0000
Pm1 0.0935 0.0935 0.0935
Pm2 0.9065 0.9065 0.9065
Y1 0.5000 0.5000 0.5000

=====

B.
BaPm2Y: relaxed, PBE.

Properties
SG = P4/mmm, No. 123
D(E_F) = 1.3973 states/eV per atom
spin magnetization = 0.0000 μB per atom

a b c (Å): 3.7612 3.7612 10.8960
angles (deg): 90.00 90.00 90.00
Positions (direct):
Ba1 0.0000 0.0000 0.0000
Pm1 0.5000 0.5000 0.2814
Pm2 0.5000 0.5000 0.7186
Y1 0.0000 0.0000 0.5000

=====

Of them, B has the highest stability.

=====

A.
BaPm2Zn: relaxed, PBE.

Properties
SG = R-3m, No. 166
D(E_F) = 1.2968 states/eV per atom
spin magnetization = 0.0000 μB per atom

a b c (Å): 11.9336 11.9336 11.9336
angles (deg): 18.13 18.13 18.13
Positions (direct):
Ba1 0.0000 0.0000 0.0000
Pm1 0.1062 0.1062 0.1062
Pm2 0.8938 0.8938 0.8938
Zn1 0.5000 0.5000 0.5000

=====

B.
BaPm2Zn: relaxed, PBE.

Properties
SG = P4/mmm, No. 123
D(E_F) = 1.3730 states/eV per atom
spin magnetization = 0.0026 μB per atom

a b c (Å): 3.7801 3.7801 9.6537
angles (deg): 90.00 90.00 90.00
Positions (direct):
Ba1 0.0000 0.0000 0.0000
Pm1 0.5000 0.5000 0.3265
Pm2 0.5000 0.5000 0.6735
Zn1 0.0000 0.0000 0.5000

=====

Of them, B has the highest stability.

=====

A.
Ba3Pr: relaxed, PBE.

Properties
SG = I4/mmm, No. 139
D(E_F) = 1.6885 states/eV per atom
spin magnetization = 0.0000 μB per atom

a b c (Å): 7.2512 7.2512 7.2512
angles (deg): 131.38 131.38 71.21
Positions (direct):
Ba1 0.0000 0.0000 0.0000
Ba2 0.2500 0.7500 0.5000
Ba3 0.7500 0.2500 0.5000
Pr1 0.5000 0.5000 0.0000

=====

B.
Ba3Pr: relaxed, PBE.

Properties
SG = Pmm2, No. 25
D(E_F) = 1.7196 states/eV per atom
spin magnetization = 0.0007 μB per atom

a b c (Å): 3.9027 4.1107 13.3384
angles (deg): 90.00 90.00 90.00
Positions (direct):
Ba1 0.0000 0.0000 0.0000
Ba2 0.0000 0.5000 0.2791
Ba3 0.5000 0.5000 0.7343
Pr1 0.5000 0.0000 0.4948

=====

Of them, A has the highest stability.

=====

A.
Ba3Pr: relaxed, PBE.

Properties
SG = Fm-3m, No. 225
D(E_F) = 1.0102 states/eV per atom
spin magnetization = 0.0000 μB per atom

a b c (Å): 6.6988 6.6988 6.6988
angles (deg): 60.00 60.00 60.00
Positions (direct):
Ba1 0.0000 0.0000 0.0000
Ba2 0.2500 0.2500 0.2500
Ba3 0.7500 0.7500 0.7500
Pr1 0.5000 0.5000 0.5000

=====

B.
Ba3Pr: relaxed, PBE.

Properties
SG = Pm-3m, No. 221
D(E_F) = 1.6761 states/eV per atom
spin magnetization = 0.0006 μB per atom

a b c (Å): 5.9502 5.9502 5.9502
angles (deg): 90.00 90.00 90.00
Positions (direct):
Ba1 0.0000 0.0000 0.5000
Ba2 0.0000 0.5000 0.0000
Ba3 0.5000 0.0000 0.0000
Pr1 0.5000 0.5000 0.5000

=====

Of them, A has the highest stability.

=====

A.
Ba3Pr: relaxed, PBE.

Properties
SG = Imm2, No. 44
D(E_F) = 1.6139 states/eV per atom
spin magnetization = 0.0005 μB per atom

a b c (Å): 8.0452 8.0452 8.0452
angles (deg): 149.51 63.03 126.28
Positions (direct):
Ba1 0.0000 0.0000 0.0000
Ba2 0.4087 0.6481 0.7606
Ba3 0.8876 0.6481 0.2394
Pr1 0.4980 0.9980 0.5000

=====

B.
Ba3Pr: relaxed, PBE.

Properties
SG = P6_3/mmc, No. 194
D(E_F) = 1.5207 states/eV per atom
spin magnetization = 0.0008 μB per atom

a b c (Å): 8.4970 8.4970 6.7762
angles (deg): 90.00 90.00 120.00
Positions (direct):
Ba1 0.1720 0.3440 0.2500
Ba2 0.1720 0.8280 0.2500
Ba3 0.3440 0.1720 0.7500
Ba4 0.6560 0.8280 0.2500
Ba5 0.8280 0.1720 0.7500
Ba6 0.8280 0.6560 0.7500
Pr1 0.3333 0.6667 0.7500
Pr2 0.6667 0.3333 0.2500

=====

Of them, A has the highest stability.